# 1
Compound: CrRe8
Source: Alexandria
Functional: meta-GGA SCAN
Structure: PBEsol geometry

Computed properties:
Total magnetization: 0.0 μB/cell
Calculated total energy: -65.16 eV per atom

Structure (POSCAR):
```
CrRe8
1.0
-4.090 4.090 1.928
4.090 -4.090 1.928
4.090 4.090 -1.928
Cr Re
1 8
direct
0.000 0.000 0.000 Cr
0.000 0.331 0.331 Re
0.000 0.669 0.669 Re
0.331 0.000 0.331 Re
0.335 0.335 0.671 Re
0.335 0.665 0.000 Re
0.665 0.335 0.000 Re
0.665 0.665 0.329 Re
0.669 0.000 0.669 Re
```



# 2
Compound: KLiY2Mo4O16
Source: Alexandria
Functional: meta-GGA SCAN
Structure: PBEsol geometry

Computed properties:
Total magnetization: 0.0 μB/cell
Energy relative to the elements, uncorrected: -2.66 eV per atom

Structure (POSCAR):
```
KLiY2Mo4O16
1.0
2.581 -6.237 0.000
2.581 6.237 0.000
-1.202 0.000 19.286
K Li Y Mo O
2 2 4 8 32
direct
0.034 0.966 0.750 K
0.966 0.034 0.250 K
0.315 0.685 0.750 Li
0.685 0.315 0.250 Li
0.146 0.852 0.532 Y
0.148 0.854 0.968 Y
0.852 0.146 0.032 Y
0.854 0.148 0.468 Y
0.244 0.736 0.353 Mo
0.264 0.756 0.147 Mo
0.421 0.544 0.908 Mo
0.456 0.579 0.592 Mo
0.544 0.421 0.408 Mo
0.579 0.456 0.092 Mo
0.736 0.244 0.853 Mo
0.756 0.264 0.647 Mo
0.002 0.270 0.829 O
0.056 0.582 0.433 O
0.065 0.479 0.286 O
0.099 0.405 0.132 O
0.168 0.506 0.958 O
0.221 0.258 0.537 O
0.226 0.325 0.398 O
0.258 0.221 0.037 O
0.270 0.002 0.329 O
0.294 0.475 0.671 O
0.325 0.226 0.898 O
0.405 0.099 0.632 O
0.418 0.944 0.067 O
0.475 0.294 0.171 O
0.479 0.065 0.786 O
0.494 0.832 0.542 O
0.506 0.168 0.458 O
0.521 0.935 0.214 O
0.525 0.706 0.829 O
0.582 0.056 0.933 O
0.595 0.901 0.368 O
0.675 0.774 0.102 O
0.706 0.525 0.329 O
0.730 0.998 0.671 O
0.742 0.779 0.963 O
0.774 0.675 0.602 O
0.779 0.742 0.463 O
0.832 0.494 0.042 O
0.901 0.595 0.868 O
0.935 0.521 0.714 O
0.944 0.418 0.567 O
0.998 0.730 0.171 O
```



# 3
Compound: Mo2AsRh
Source: Alexandria
Functional: meta-GGA SCAN
Structure: PBEsol geometry

Computed properties:
Total magnetization: 0.0 μB/cell
Calculated total energy: -30.98 eV per atom

Structure (POSCAR):
```
Mo2AsRh
1.0
3.068 0.000 0.000
0.000 4.363 0.000
0.000 0.000 8.736
Mo As Rh
4 2 2
direct
0.000 0.000 0.230 Mo
0.000 0.000 0.770 Mo
0.500 0.500 0.270 Mo
0.500 0.500 0.730 Mo
0.000 0.500 0.500 As
0.500 0.000 0.000 As
0.000 0.500 0.000 Rh
0.500 0.000 0.500 Rh
```



# 4
Compound: Hg2OsW
Source: Alexandria
Functional: meta-GGA SCAN
Structure: PBEsol geometry

Computed properties:
Total magnetization: 1.7 μB/cell
Distance to the lowest polymorph of the same formula: 486 meV per atom

Structure (POSCAR):
```
Hg2OsW
1.0
2.811 0.000 0.000
0.000 2.811 0.000
0.000 0.000 8.602
Hg Os W
2 1 1
direct
0.000 0.000 0.244 Hg
0.000 0.000 0.756 Hg
0.500 0.500 0.000 Os
0.500 0.500 0.500 W
```



# 5
Compound: BaSiBr2
Source: Alexandria
Functional: meta-GGA SCAN
Structure: PBEsol geometry

Computed properties:
Total magnetization: 4.0 μB/cell
Energy relative to the elements, uncorrected: -0.78 eV per atom

Structure (POSCAR):
```
BaSiBr2
1.0
5.112 0.000 0.000
0.000 5.112 0.000
0.000 0.000 8.823
Ba Si Br
2 2 4
direct
0.000 0.000 0.000 Ba
0.500 0.500 0.500 Ba
0.000 0.000 0.500 Si
0.500 0.500 0.000 Si
0.000 0.500 0.250 Br
0.000 0.500 0.750 Br
0.500 0.000 0.250 Br
0.500 0.000 0.750 Br
```



# 6
Compound: Zn2PbBr
Source: Alexandria
Functional: meta-GGA SCAN
Structure: PBEsol geometry

Computed properties:
Total magnetization: 0.0 μB/cell
Energy relative to the elements, uncorrected: -0.04 eV per atom
Distance to the lowest polymorph of the same formula: 0 meV per atom

Structure (POSCAR):
```
Zn2PbBr
1.0
3.764 0.000 0.000
-1.882 3.259 0.000
0.000 0.000 22.519
Zn Pb Br
6 3 3
direct
0.000 0.000 0.249 Zn
0.000 0.000 0.751 Zn
0.333 0.667 0.418 Zn
0.333 0.667 0.916 Zn
0.667 0.333 0.084 Zn
0.667 0.333 0.582 Zn
0.000 0.000 0.000 Pb
0.333 0.667 0.667 Pb
0.667 0.333 0.333 Pb
0.000 0.000 0.500 Br
0.333 0.667 0.167 Br
0.667 0.333 0.833 Br
```



# 7
Compound: Mg4Tl
Source: Alexandria
Functional: meta-GGA SCAN
Structure: PBEsol geometry

Computed properties:
Total magnetization: 0.0 μB/cell
Calculated total energy: -18.54 eV per atom

Structure (POSCAR):
```
Mg4Tl
1.0
7.146 0.000 0.000
0.000 7.146 0.000
0.000 0.000 4.438
Mg Tl
8 2
direct
0.100 0.302 0.000 Mg
0.198 0.600 0.500 Mg
0.302 0.900 0.000 Mg
0.400 0.198 0.500 Mg
0.600 0.802 0.500 Mg
0.698 0.100 0.000 Mg
0.802 0.400 0.500 Mg
0.900 0.698 0.000 Mg
0.000 0.000 0.500 Tl
0.500 0.500 0.000 Tl
```



# 8
Compound: TlSb2Mo
Source: Alexandria
Functional: meta-GGA SCAN
Structure: PBEsol geometry

Computed properties:
Total magnetization: 0.0 μB/cell
Energy relative to the elements, uncorrected: 0.53 eV per atom
Distance to the lowest polymorph of the same formula: 409 meV per atom

Structure (POSCAR):
```
TlSb2Mo
1.0
3.830 0.000 0.000
0.000 4.784 0.000
0.000 0.000 10.227
Tl Sb Mo
2 4 2
direct
0.000 0.000 0.000 Tl
0.500 0.500 0.000 Tl
0.000 0.000 0.590 Sb
0.000 0.500 0.270 Sb
0.500 0.000 0.270 Sb
0.500 0.500 0.590 Sb
0.000 0.500 0.781 Mo
0.500 0.000 0.781 Mo
```



# 9
Compound: CdSnPb2
Source: Alexandria
Functional: meta-GGA SCAN
Structure: PBEsol geometry

Computed properties:
Total magnetization: 0.0 μB/cell
Calculated total energy: -54.35 eV per atom

Structure (POSCAR):
```
CdSnPb2
1.0
7.564 0.000 0.000
0.000 7.564 0.000
0.000 0.000 7.564
Cd Sn Pb
4 4 8
direct
0.000 0.000 0.000 Cd
0.000 0.500 0.500 Cd
0.500 0.000 0.500 Cd
0.500 0.500 0.000 Cd
0.000 0.000 0.500 Sn
0.000 0.500 0.000 Sn
0.500 0.000 0.000 Sn
0.500 0.500 0.500 Sn
0.250 0.250 0.250 Pb
0.250 0.250 0.750 Pb
0.250 0.750 0.250 Pb
0.250 0.750 0.750 Pb
0.750 0.250 0.250 Pb
0.750 0.250 0.750 Pb
0.750 0.750 0.250 Pb
0.750 0.750 0.750 Pb
```



# 10
Compound: SbOs2W
Source: Alexandria
Functional: meta-GGA SCAN
Structure: PBEsol geometry

Computed properties:
Total magnetization: 0.0 μB/cell
Energy relative to the elements, uncorrected: 0.42 eV per atom

Structure (POSCAR):
```
SbOs2W
1.0
2.961 0.000 0.000
0.000 2.961 0.000
0.000 0.000 7.291
Sb Os W
1 2 1
direct
0.000 0.000 0.000 Sb
0.500 0.500 0.264 Os
0.500 0.500 0.736 Os
0.000 0.000 0.500 W
```



# 11
Compound: CaPdPt2
Source: Alexandria
Functional: meta-GGA SCAN
Structure: PBEsol geometry

Computed properties:
Total magnetization: 0.0 μB/cell
Calculated total energy: -46.04 eV per atom

Structure (POSCAR):
```
CaPdPt2
1.0
6.462 0.000 0.000
0.000 6.462 0.000
0.000 0.000 6.462
Ca Pd Pt
4 4 8
direct
0.000 0.000 0.000 Ca
0.000 0.500 0.500 Ca
0.500 0.000 0.500 Ca
0.500 0.500 0.000 Ca
0.000 0.000 0.500 Pd
0.000 0.500 0.000 Pd
0.500 0.000 0.000 Pd
0.500 0.500 0.500 Pd
0.250 0.250 0.250 Pt
0.250 0.250 0.750 Pt
0.250 0.750 0.250 Pt
0.250 0.750 0.750 Pt
0.750 0.250 0.250 Pt
0.750 0.250 0.750 Pt
0.750 0.750 0.250 Pt
0.750 0.750 0.750 Pt
```



# 12
Compound: BaInP2
Source: Alexandria
Functional: meta-GGA SCAN
Structure: PBEsol geometry

Computed properties:
Total magnetization: 0.0 μB/cell
Calculated total energy: -23.73 eV per atom

Structure (POSCAR):
```
BaInP2
1.0
3.698 0.000 0.000
0.000 4.054 0.000
0.000 0.000 6.425
Ba In P
1 1 2
direct
0.000 0.000 0.000 Ba
0.000 0.000 0.500 In
0.500 0.500 0.325 P
0.500 0.500 0.675 P
```



# 13
Compound: Li5Mn2CoO8
Source: Alexandria
Functional: meta-GGA SCAN
Structure: PBEsol geometry

Computed properties:
Total magnetization: 6.1 μB/cell
Energy relative to the elements, uncorrected: -2.20 eV per atom
Distance to the lowest polymorph of the same formula: 2 meV per atom

Structure (POSCAR):
```
Li5Mn2CoO8
1.0
4.973 -2.808 0.000
4.973 2.808 0.000
-1.602 0.000 4.580
Li Mn Co O
5 2 1 8
direct
0.000 0.000 0.000 Li
0.245 0.248 0.492 Li
0.493 0.002 0.993 Li
0.752 0.755 0.508 Li
0.998 0.507 0.007 Li
0.492 0.508 0.000 Mn
0.761 0.239 0.500 Mn
0.249 0.751 0.500 Co
0.112 0.114 0.722 O
0.148 0.625 0.751 O
0.375 0.852 0.249 O
0.389 0.389 0.254 O
0.611 0.611 0.746 O
0.622 0.154 0.749 O
0.846 0.378 0.251 O
0.886 0.888 0.278 O
```